[1]
# PBE-GGA Na3Mg2Ga9, optimized geometry
data_Na3Mg2Ga9
_chemical_formula_sum 'Na6 Mg4 Ga18'
_space_group_name_H-M_alt 'I m m m'
_space_group_IT_number 71
_space_group_name_Hall '-I 2 2'
_cell_length_a 4.5292
_cell_length_b 9.6002
_cell_length_c 13.2826
_cell_angle_alpha 90.00
_cell_angle_beta 90.00
_cell_angle_gamma 90.00
loop_
_atom_site_label
_atom_site_type_symbol
_atom_site_fract_x
_atom_site_fract_y
_atom_site_fract_z
_atom_site_occupancy
Na1 Na 0.0000 0.0000 0.0000 1
Na2 Na 0.0000 0.0000 0.2912 1
Mg1 Mg 0.0000 0.1800 0.5000 1
Ga1 Ga 0.0000 0.2814 0.1429 1
Ga2 Ga 0.0000 0.3636 0.3349 1
Ga3 Ga 0.0000 0.5000 0.0000 1
# - energy relative to the elements (eV per atom) = -0.1522
# - theoretical density (kg/m3) = 4285
# - density of states at the Fermi level (states/eV/cell) = 9.23
# - electronic total energy (eV/cell) = -73.0

=====

[2]
# PBE-GGA NaMg5Ga4, optimized geometry
data_NaMg5Ga4
_chemical_formula_sum 'Na1 Mg5 Ga4'
_space_group_name_H-M_alt 'P 4/m m m'
_space_group_IT_number 123
_space_group_name_Hall '-P 4 2'
_cell_length_a 3.2812
_cell_length_b 3.2812
_cell_length_c 19.7476
_cell_angle_alpha 90.00
_cell_angle_beta 90.00
_cell_angle_gamma 90.00
loop_
_atom_site_label
_atom_site_type_symbol
_atom_site_fract_x
_atom_site_fract_y
_atom_site_fract_z
_atom_site_occupancy
Na1 Na 0.0000 0.0000 0.0000 1
Mg1 Mg 0.5000 0.5000 0.1356 1
Mg2 Mg 0.5000 0.5000 0.3165 1
Mg3 Mg 0.5000 0.5000 0.5000 1
Ga1 Ga 0.0000 0.0000 0.2257 1
Ga2 Ga 0.0000 0.0000 0.4093 1
# - energy relative to the elements (eV per atom) = -0.0855
# - theoretical density (kg/m3) = 3307
# - density of states at the Fermi level (states/eV/cell) = 3.39
# - electronic total energy (eV/cell) = -22.3

=====

[3]
# PBE-GGA NaMg6Ga4, optimized geometry
data_NaMg6Ga4
_chemical_formula_sum 'Na1 Mg6 Ga4'
_space_group_name_H-M_alt 'P -6 m 2'
_space_group_IT_number 187
_space_group_name_Hall 'P -6 2'
_cell_length_a 8.0142
_cell_length_b 8.0142
_cell_length_c 4.3883
_cell_angle_alpha 90.00
_cell_angle_beta 90.00
_cell_angle_gamma 120.00
loop_
_atom_site_label
_atom_site_type_symbol
_atom_site_fract_x
_atom_site_fract_y
_atom_site_fract_z
_atom_site_occupancy
Na1 Na 0.0000 0.0000 0.0000 1
Mg1 Mg 0.2013 0.4026 0.5000 1
Mg2 Mg 0.5303 0.0605 0.0000 1
Ga1 Ga 0.3333 0.6667 0.0000 1
Ga2 Ga 0.4209 0.2105 0.5000 1
# - energy relative to the elements (eV per atom) = -0.1047
# - theoretical density (kg/m3) = 3046
# - density of states at the Fermi level (states/eV/cell) = 5.61
# - electronic total energy (eV/cell) = -24.1

=====

[4]
# PBE-GGA NaMg2Ga10, optimized geometry
data_NaMg2Ga10
_chemical_formula_sum 'Na4 Mg8 Ga40'
_space_group_name_H-M_alt 'F m m m'
_space_group_IT_number 69
_space_group_name_Hall '-F 2 2'
_cell_length_a 5.9054
_cell_length_b 13.2694
_cell_length_c 13.4284
_cell_angle_alpha 90.00
_cell_angle_beta 90.00
_cell_angle_gamma 90.00
loop_
_atom_site_label
_atom_site_type_symbol
_atom_site_fract_x
_atom_site_fract_y
_atom_site_fract_z
_atom_site_occupancy
Na1 Na 0.0000 0.0000 0.0000 1
Mg1 Mg 0.2500 0.2500 0.0000 1
Ga1 Ga 0.0000 0.1066 0.3882 1
Ga2 Ga 0.0000 0.1761 0.1785 1
Ga3 Ga 0.2500 0.0000 0.2500 1
# - energy relative to the elements (eV per atom) = -0.0347
# - theoretical density (kg/m3) = 4853
# - density of states at the Fermi level (states/eV/cell) = 15.89
# - electronic total energy (eV/cell) = -140.9

=====

The calculated volume results, record by record, are as follows: 577.54 212.60 244.09 1052.27 Å³/cell.